# FeBi2Os2 PBE relaxed
data_FeBi2Os2
_chemical_formula_sum 'Fe2 Bi4 Os4'
_cell_length_a 4.149
_cell_length_b 4.149
_cell_length_c 15.505
_cell_angle_alpha 90.00
_cell_angle_beta 90.00
_cell_angle_gamma 120.00
_space_group_name_H-M_alt 'P 1'
_space_group_IT_number 1
loop_
_space_group_symop_operation_xyz
'x,y,z'
loop_
_atom_site_label
_atom_site_fract_x
_atom_site_fract_y
_atom_site_fract_z
Bi1 0.333 0.667 0.089
Bi2 0.667 0.333 0.589
Os1 0.667 0.333 0.174
Bi3 0.333 0.667 0.411
Os2 0.667 0.333 0.326
Fe1 0.000 0.000 0.250
Bi4 0.667 0.333 0.911
Os3 0.333 0.667 0.674
Fe2 0.000 0.000 0.750
Os4 0.333 0.667 0.826
# * crystal system: hexagonal
# * E_tot: -70.27 eV for the cell shown



# FeBiOsPd PBE relaxed
data_FeBiOsPd
_chemical_formula_sum 'Fe1 Bi1 Os1 Pd1'
_cell_length_a 4.542
_cell_length_b 4.542
_cell_length_c 4.542
_cell_angle_alpha 60.00
_cell_angle_beta 60.00
_cell_angle_gamma 60.00
_space_group_name_H-M_alt 'P 1'
_space_group_IT_number 1
loop_
_space_group_symop_operation_xyz
'x,y,z'
loop_
_atom_site_label
_atom_site_fract_x
_atom_site_fract_y
_atom_site_fract_z
Pd1 0.500 0.500 0.500
Bi1 0.000 0.000 0.000
Os1 0.250 0.250 0.250
Fe1 0.750 0.750 0.750
# * crystal system: cubic
# * E_tot: -26.48 eV for the cell shown



# FeReBiOs PBE relaxed
data_FeReBiOs
_chemical_formula_sum 'Fe1 Re1 Bi1 Os1'
_cell_length_a 4.527
_cell_length_b 4.527
_cell_length_c 4.527
_cell_angle_alpha 60.00
_cell_angle_beta 60.00
_cell_angle_gamma 60.00
_space_group_name_H-M_alt 'P 1'
_space_group_IT_number 1
loop_
_space_group_symop_operation_xyz
'x,y,z'
loop_
_atom_site_label
_atom_site_fract_x
_atom_site_fract_y
_atom_site_fract_z
Re1 0.500 0.500 0.500
Fe1 0.750 0.750 0.750
Os1 0.250 0.250 0.250
Bi1 0.000 0.000 0.000
# * crystal system: cubic
# * E_tot: -32.42 eV for the cell shown



# ScFeBiOs PBE relaxed
data_ScFeBiOs
_chemical_formula_sum 'Sc1 Fe1 Bi1 Os1'
_cell_length_a 4.553
_cell_length_b 4.553
_cell_length_c 4.553
_cell_angle_alpha 60.00
_cell_angle_beta 60.00
_cell_angle_gamma 60.00
_space_group_name_H-M_alt 'P 1'
_space_group_IT_number 1
loop_
_space_group_symop_operation_xyz
'x,y,z'
loop_
_atom_site_label
_atom_site_fract_x
_atom_site_fract_y
_atom_site_fract_z
Os1 0.250 0.250 0.250
Fe1 0.750 0.750 0.750
Sc1 0.500 0.500 0.500
Bi1 0.000 0.000 0.000
# * crystal system: cubic
# * E_tot: -29.27 eV for the cell shown



# ScFeBiOs PBE relaxed
data_ScFeBiOs
_chemical_formula_sum 'Sc1 Fe1 Bi1 Os1'
_cell_length_a 4.613
_cell_length_b 4.613
_cell_length_c 4.613
_cell_angle_alpha 60.00
_cell_angle_beta 60.00
_cell_angle_gamma 60.00
_space_group_name_H-M_alt 'P 1'
_space_group_IT_number 1
loop_
_space_group_symop_operation_xyz
'x,y,z'
loop_
_atom_site_label
_atom_site_fract_x
_atom_site_fract_y
_atom_site_fract_z
Bi1 0.000 0.000 0.000
Fe1 0.750 0.750 0.750
Sc1 0.250 0.250 0.250
Os1 0.500 0.500 0.500
# * crystal system: cubic
# * E_tot: -28.43 eV for the cell shown



# FeBiOsW PBE relaxed
data_FeBiOsW
_chemical_formula_sum 'Fe1 Bi1 Os1 W1'
_cell_length_a 4.553
_cell_length_b 4.553
_cell_length_c 4.553
_cell_angle_alpha 60.00
_cell_angle_beta 60.00
_cell_angle_gamma 60.00
_space_group_name_H-M_alt 'P 1'
_space_group_IT_number 1
loop_
_space_group_symop_operation_xyz
'x,y,z'
loop_
_atom_site_label
_atom_site_fract_x
_atom_site_fract_y
_atom_site_fract_z
Os1 0.250 0.250 0.250
Bi1 0.000 0.000 0.000
Fe1 0.750 0.750 0.750
W1 0.500 0.500 0.500
# * crystal system: cubic
# * E_tot: -33.33 eV for the cell shown



# FeBiOsW PBE relaxed
data_FeBiOsW
_chemical_formula_sum 'Fe1 Bi1 Os1 W1'
_cell_length_a 4.558
_cell_length_b 4.558
_cell_length_c 4.558
_cell_angle_alpha 60.00
_cell_angle_beta 60.00
_cell_angle_gamma 60.00
_space_group_name_H-M_alt 'P 1'
_space_group_IT_number 1
loop_
_space_group_symop_operation_xyz
'x,y,z'
loop_
_atom_site_label
_atom_site_fract_x
_atom_site_fract_y
_atom_site_fract_z
W1 0.250 0.250 0.250
Bi1 0.000 0.000 0.000
Os1 0.500 0.500 0.500
Fe1 0.750 0.750 0.750
# * crystal system: cubic
# * E_tot: -33.03 eV for the cell shown



# ZrFeBiOs PBE relaxed
data_ZrFeBiOs
_chemical_formula_sum 'Zr1 Fe1 Bi1 Os1'
_cell_length_a 4.666
_cell_length_b 4.666
_cell_length_c 4.666
_cell_angle_alpha 60.00
_cell_angle_beta 60.00
_cell_angle_gamma 60.00
_space_group_name_H-M_alt 'P 1'
_space_group_IT_number 1
loop_
_space_group_symop_operation_xyz
'x,y,z'
loop_
_atom_site_label
_atom_site_fract_x
_atom_site_fract_y
_atom_site_fract_z
Fe1 0.750 0.750 0.750
Bi1 0.000 0.000 0.000
Zr1 0.250 0.250 0.250
Os1 0.500 0.500 0.500
# * crystal system: cubic
# * E_tot: -30.31 eV for the cell shown



# ZrFeBiOs PBE relaxed
data_ZrFeBiOs
_chemical_formula_sum 'Zr1 Fe1 Bi1 Os1'
_cell_length_a 4.639
_cell_length_b 4.639
_cell_length_c 4.639
_cell_angle_alpha 60.00
_cell_angle_beta 60.00
_cell_angle_gamma 60.00
_space_group_name_H-M_alt 'P 1'
_space_group_IT_number 1
loop_
_space_group_symop_operation_xyz
'x,y,z'
loop_
_atom_site_label
_atom_site_fract_x
_atom_site_fract_y
_atom_site_fract_z
Fe1 0.750 0.750 0.750
Os1 0.250 0.250 0.250
Bi1 0.000 0.000 0.000
Zr1 0.500 0.500 0.500
# * crystal system: cubic
# * E_tot: -31.33 eV for the cell shown



# Fe2BiPb PBE relaxed
data_Fe2BiPb
_chemical_formula_sum 'Fe8 Bi4 Pb4'
_cell_length_a 6.556
_cell_length_b 6.556
_cell_length_c 6.556
_cell_angle_alpha 90.00
_cell_angle_beta 90.00
_cell_angle_gamma 90.00
_space_group_name_H-M_alt 'P 1'
_space_group_IT_number 1
loop_
_space_group_symop_operation_xyz
'x,y,z'
loop_
_atom_site_label
_atom_site_fract_x
_atom_site_fract_y
_atom_site_fract_z
Fe1 0.752 0.248 0.752
Pb1 0.500 0.000 0.500
Fe2 0.752 0.248 0.248
Fe3 0.752 0.752 0.248
Bi1 0.000 0.500 0.000
Fe4 0.248 0.248 0.248
Pb2 0.500 0.500 0.500
Fe5 0.752 0.752 0.752
Bi2 0.500 0.000 0.000
Fe6 0.248 0.752 0.752
Bi3 0.000 0.000 0.500
Pb3 0.000 0.500 0.500
Fe7 0.248 0.248 0.752
Pb4 0.500 0.500 0.000
Bi4 0.000 0.000 0.000
Fe8 0.248 0.752 0.248
# * crystal system: cubic
# * E_tot: -86.23 eV for the cell shown



# FeBi2Pb PBE relaxed
data_FeBi2Pb
_chemical_formula_sum 'Fe1 Bi2 Pb1'
_cell_length_a 5.379
_cell_length_b 5.379
_cell_length_c 5.379
_cell_angle_alpha 60.00
_cell_angle_beta 60.00
_cell_angle_gamma 60.00
_space_group_name_H-M_alt 'P 1'
_space_group_IT_number 1
loop_
_space_group_symop_operation_xyz
'x,y,z'
loop_
_atom_site_label
_atom_site_fract_x
_atom_site_fract_y
_atom_site_fract_z
Pb1 0.500 0.500 0.500
Fe1 0.250 0.250 0.250
Bi1 0.000 0.000 0.000
Bi2 0.750 0.750 0.750
# * crystal system: cubic
# * E_tot: -17.78 eV for the cell shown



# Fe3Bi2Pb2 PBE relaxed
data_Fe3Bi2Pb2
_chemical_formula_sum 'Fe3 Bi2 Pb2'
_cell_length_a 8.180
_cell_length_b 8.180
_cell_length_c 8.180
_cell_angle_alpha 34.30
_cell_angle_beta 34.30
_cell_angle_gamma 34.30
_space_group_name_H-M_alt 'P 1'
_space_group_IT_number 1
loop_
_space_group_symop_operation_xyz
'x,y,z'
loop_
_atom_site_label
_atom_site_fract_x
_atom_site_fract_y
_atom_site_fract_z
Fe1 0.625 0.625 0.625
Bi1 0.247 0.247 0.247
Fe2 0.369 0.369 0.369
Bi2 0.752 0.752 0.752
Pb1 0.004 0.004 0.004
Pb2 0.496 0.496 0.496
Fe3 0.882 0.882 0.882
# * crystal system: trigonal
# * E_tot: -36.72 eV for the cell shown